Here is a relaxed structure of Tb6Dy2Tm3Sc from Alexandria. Energies are from PBE-GGA.

Results
total moment: 0.00 Bohr magnetons per cell
total DFT energy (no corrections): -4.70 eV/atom

Cell and atoms, written as POSCAR:
```
Tb6Dy2Tm3Sc
1.0
-0.582 5.870 1.508
-3.223 -4.234 2.960
9.728 -1.661 6.133
Tm Tb Dy Sc
3 6 2 1
Direct
0.834 0.166 0.500
0.500 0.500 0.500
0.166 0.834 0.500
0.083 0.414 0.249
0.248 0.248 0.751
0.917 0.586 0.751
0.414 0.083 0.249
0.586 0.917 0.751
0.752 0.752 0.249
0.333 0.667 0.000
0.667 0.333 0.000
0.000 0.000 0.000
```